No. 1
# Fe2IrRh

A relaxed structure of Fe2IrRh (PBE-GGA, the Alexandria database).

a = 2.784 Å, b = 4.509 Å, c = 8.634 Å
α = 90.00°, β = 90.00°, γ = 90.00°
Space group Cmm2 (No. 35)
Symmetry-distinct sites (fractional):
Fe: 0.000 0.000 0.000 (multiplicity 2)
Fe: 0.000 0.500 0.230 (multiplicity 2)
Ir: 0.000 0.500 0.753 (multiplicity 2)
Rh: 0.000 0.000 0.477 (multiplicity 2)

V, A^3/atom: 13.55
Total energy, eV per formula unit: -32.602
Formation energy from the elements, kcal/mol of atoms: 3.089

No. 2
# FeIr6Rh8

A relaxed structure of FeIr6Rh8 (PBE-GGA, the Alexandria database).

a = 7.2362 Å, b = 7.2362 Å, c = 5.1532 Å
α = 90.00°, β = 90.00°, γ = 120.00°
Space group P-3 (No. 147)
Symmetry-distinct sites (fractional):
Fe: 0.0000 0.0000 0.0000 (multiplicity 1)
Ir: 0.0423 0.6845 0.5895 (multiplicity 6)
Rh: 0.0591 0.3731 0.9078 (multiplicity 6)
Rh: 0.3333 0.6667 0.2757 (multiplicity 2)

V, A^3/atom: 15.58
Total energy, eV per formula unit: -116.096
Formation energy from the elements, kcal/mol of atoms: 6.679